1.
CaCuRu2 | GGA-PBE | optimized geometry Values from VASP.

```
&SYSTEM
  ibrav = 0, nat = 4, ntyp = 3
/
ATOMIC_SPECIES
Ca 40.08 Ca.upf
Cu 63.55 Cu.upf
Ru 101.07 Ru.upf
ATOMIC_POSITIONS angstrom
Ca 0.0000 0.0000 0.0000
Cu 2.7648 0.0000 0.0000
Ru 1.3824 2.1903 1.3134
Ru 1.3824 -2.1903 1.3134
CELL_PARAMETERS angstrom
2.7648 -4.3807 0.0000
2.7648 4.3807 0.0000
0.0000 0.0000 2.6267
```

Offset from the most stable computed form (eV per formula unit): 1.22
Energy relative to the elements (eV/atom): 0.54
Space-group type: Cmmm

***

2.
Al2HgSe3 | GGA-PBE | optimized geometry Values from VASP.

```
&SYSTEM
  ibrav = 0, nat = 12, ntyp = 3
/
ATOMIC_SPECIES
Al 26.98 Al.upf
Hg 200.59 Hg.upf
Se 78.96 Se.upf
ATOMIC_POSITIONS angstrom
Al 0.0000 0.0000 0.0000
Al -1.8156 -1.0483 6.1301
Al -1.8156 1.0483 12.2601
Al 0.0000 2.0965 6.1301
Hg 0.0000 0.0000 4.0057
Hg 0.0000 0.0000 14.3845
Se 0.0000 -2.0603 7.5446
Se -1.7843 1.0301 7.5446
Se -1.7843 -1.0301 10.8457
Se 1.7843 1.0301 7.5445
Se 1.7843 -1.0301 10.8457
Se 0.0000 2.0603 10.8457
CELL_PARAMETERS angstrom
3.6313 2.0965 6.1301
-3.6313 2.0965 6.1301
0.0000 -4.1931 6.1301
```

Offset from the most stable computed form (eV per formula unit): 0.74
Space-group type: R-3m

***

3.
PmGaCu2Pt | GGA-PBE | optimized geometry Values from VASP.

```
&SYSTEM
  ibrav = 0, nat = 5, ntyp = 4
/
ATOMIC_SPECIES
Pm 145.00 Pm.upf
Ga 69.72 Ga.upf
Cu 63.55 Cu.upf
Pt 195.08 Pt.upf
ATOMIC_POSITIONS angstrom
Pm 0.0000 0.0000 0.0000
Ga 0.0000 0.0000 4.0762
Cu 0.0000 0.0000 6.4918
Cu 0.0000 2.0744 2.6491
Pt 1.9813 0.0000 2.5405
CELL_PARAMETERS angstrom
-1.9813 2.0744 5.4217
1.9813 -2.0744 5.4217
1.9813 2.0744 -5.4217
```

Energy relative to the elements (eV/atom): -0.50
Space-group type: Imm2

***

4.
Pm2Y2Tm5 | GGA-PBE | optimized geometry Values from VASP.

```
&SYSTEM
  ibrav = 0, nat = 9, ntyp = 3
/
ATOMIC_SPECIES
Pm 145.00 Pm.upf
Y 88.91 Y.upf
Tm 168.93 Tm.upf
ATOMIC_POSITIONS angstrom
Pm 2.0085 0.0000 1.4404
Pm 4.5212 0.0000 11.2346
Y -0.3283 0.0000 7.9601
Y 6.8580 0.0000 4.7150
Tm -3.7310 0.0000 8.9774
Tm 5.5030 0.0000 1.4146
Tm 3.2649 0.0000 6.3375
Tm 1.0267 0.0000 11.2605
Tm 10.2608 0.0000 3.6977
CELL_PARAMETERS angstrom
6.3452 -1.7995 0.0000
6.3452 1.7995 0.0000
-6.1606 0.0000 12.6751
```

Offset from the most stable computed form (eV per formula unit): 0.00
Energy relative to the elements (eV/atom): 0.08
Space-group type: C2/m

***

5.
Tl7Hg12Sb | GGA-PBE | optimized geometry Values from VASP.

```
&SYSTEM
  ibrav = 0, nat = 20, ntyp = 3
/
ATOMIC_SPECIES
Tl 204.38 Tl.upf
Hg 200.59 Hg.upf
Sb 121.76 Sb.upf
ATOMIC_POSITIONS angstrom
Tl 0.0000 0.0000 0.0000
Tl -1.9720 -0.4727 3.6980
Tl 1.3954 -1.4715 3.6980
Tl 0.5766 1.9442 3.6980
Tl -0.5766 -1.9442 9.2957
Tl -1.3954 1.4715 9.2957
Tl 1.9720 0.4727 9.2957
Hg -0.6973 -4.2105 3.4796
Hg -3.2978 2.7092 3.4796
Hg -3.1902 -0.7104 6.7467
Hg -0.9799 -3.1180 6.2470
Hg -3.9951 -1.5014 9.5142
Hg -2.2103 2.4076 6.2470
Hg 2.2103 -2.4076 6.7467
Hg 3.9951 1.5014 3.4796
Hg 0.9798 3.1180 6.7467
Hg 3.1902 0.7104 6.2470
Hg 3.2978 -2.7092 9.5142
Hg 0.6973 4.2105 9.5142
Sb 0.0000 0.0000 6.4969
CELL_PARAMETERS angstrom
6.2814 3.6266 4.3312
-6.2814 3.6266 4.3312
0.0000 -7.2531 4.3312
```

Space-group type: R-3

***

6.
Ce7PdI12 | GGA-PBE | optimized geometry Values from VASP.

```
&SYSTEM
  ibrav = 0, nat = 20, ntyp = 3
/
ATOMIC_SPECIES
Ce 140.12 Ce.upf
Pd 106.42 Pd.upf
I 126.90 I.upf
ATOMIC_POSITIONS angstrom
Ce 0.0000 0.0000 0.0000
Ce -1.6817 -1.6575 3.7102
Ce -0.5946 2.2851 3.7102
Ce 2.2762 -0.6276 3.7102
Ce -2.2762 0.6276 7.0962
Ce 0.5946 -2.2851 7.0962
Ce 1.6817 1.6575 7.0962
Pd 0.0000 0.0000 5.4032
I -2.6151 0.7245 1.7188
I 0.6802 -2.6270 1.7188
I -4.4002 -1.1170 5.3562
I -1.2327 -4.3692 5.4503
I 1.9350 1.9025 1.7188
I -3.1675 3.2521 5.4503
I 3.1675 -3.2521 5.3562
I -1.9349 -1.9025 9.0876
I 1.2327 4.3692 5.3562
I 4.4002 1.1170 5.4503
I -0.6802 2.6270 9.0876
I 2.6151 -0.7245 9.0876
CELL_PARAMETERS angstrom
8.1031 4.6784 3.6022
-8.1031 4.6784 3.6022
0.0000 -9.3567 3.6022
```

Space-group type: R-3

***

What did we get for calculated volume? Answer: 63.6, 280.0, 89.1, 289.4, 592.0, 819.3 Å³ per cell, in the order shown.
What did we get for DFT total energy? Answer: -22.496, -42.892, -24.515, -44.040, -23.982, -88.212 eV/cell, in the order shown.